# PBE-GGA Pr5In2Sn5, relaxed
data_Pr5In2Sn5
_chemical_formula_sum 'Pr10 In4 Sn10'
_space_group_name_H-M_alt 'C 1 2/m 1'
_space_group_IT_number 12
_cell_length_a 16.580
_cell_length_b 4.687
_cell_length_c 11.872
_cell_angle_alpha 90.00
_cell_angle_beta 129.15
_cell_angle_gamma 90.00
loop_
_space_group_symop_operation_xyz
'x,y,z'
'-x,-y,-z'
'-x,y,-z'
'x,-y,z'
'x+1/2,y+1/2,z'
'-x+1/2,-y+1/2,-z'
'-x+1/2,y+1/2,-z'
'x+1/2,-y+1/2,z'
loop_
_atom_site_label
_atom_site_type_symbol
_atom_site_fract_x
_atom_site_fract_y
_atom_site_fract_z
Pr1 Pr 0.000 0.000 0.000
Pr2 Pr 0.106 0.000 0.423
Pr3 Pr 0.200 0.000 0.832
In1 In 0.139 0.500 0.251
Sn1 Sn 0.000 0.500 0.500
Sn2 Sn 0.069 0.500 0.848
Sn3 Sn 0.239 0.500 0.680
# VASP energy, eV/atom: -4.73
# Energy of formation, kJ/mol of formula units: -711
# Total magnetic moment, μB/f.u.: 0.00